(1)
A relaxed structure of AcAl2Ag10, computed with PBE.

Values from the calculation:
The calculated formation energy is -11.7 kJ per mole of atoms. Its space group is No. 69.

```
data_AcAl2Ag10
_cell_length_a 9.648
_cell_length_b 7.467
_cell_length_c 7.228
_cell_angle_alpha 82.06
_cell_angle_beta 50.04
_cell_angle_gamma 47.90
_symmetry_space_group_name_H-M 'P 1'
_symmetry_Int_Tables_number 1
loop_
_symmetry_equiv_pos_as_xyz
'x,y,z'
loop_
_atom_site_label
_atom_site_fract_x
_atom_site_fract_y
_atom_site_fract_z
_atom_site_occupancy
Ac1 0.000 0.000 0.000 1
Al1 0.000 0.500 0.000 1
Al2 0.500 0.000 0.500 1
Ag1 0.000 0.000 0.500 1
Ag2 0.007 0.350 0.650 1
Ag3 0.277 0.493 0.507 1
Ag4 0.350 0.007 0.993 1
Ag5 0.493 0.277 0.723 1
Ag6 0.500 0.500 0.000 1
Ag7 0.507 0.723 0.277 1
Ag8 0.650 0.993 0.007 1
Ag9 0.723 0.507 0.493 1
Ag10 0.993 0.650 0.350 1
```


(2)
A relaxed structure of Ag2SbCl, computed with PBE.

Values from the calculation:
The calculation puts the formation energy (no corrections) at -0.108 eV per atom. Its space group is No. 10.

```
data_Ag2SbCl
_cell_length_a 3.438
_cell_length_b 3.472
_cell_length_c 7.691
_cell_angle_alpha 90.00
_cell_angle_beta 90.06
_cell_angle_gamma 90.00
_symmetry_space_group_name_H-M 'P 1'
_symmetry_Int_Tables_number 1
loop_
_symmetry_equiv_pos_as_xyz
'x,y,z'
loop_
_atom_site_label
_atom_site_fract_x
_atom_site_fract_y
_atom_site_fract_z
_atom_site_occupancy
Ag1 0.001 0.000 0.231 1
Ag2 0.999 0.000 0.769 1
Sb1 0.500 0.500 0.000 1
Cl1 0.000 0.500 0.500 1
```